Ce3SnO8: relaxed, GGA-PBE.

```
Ce3SnO8
1.0
3.8134 0.0000 0.0000
0.0000 3.8134 0.0000
0.0000 0.0000 10.8217
Ce O Sn
3 8 1
Direct
0.0000 0.0000 0.5000 Ce
0.5000 0.5000 0.7537 Ce
0.5000 0.5000 0.2463 Ce
0.0000 0.5000 0.3727 O
0.5000 0.0000 0.3727 O
0.0000 0.5000 0.1170 O
0.0000 0.5000 0.8830 O
0.5000 0.0000 0.1170 O
0.5000 0.0000 0.6273 O
0.0000 0.5000 0.6273 O
0.5000 0.0000 0.8830 O
0.0000 0.0000 0.0000 Sn
```

Results
spin magnetization: 0.0 μB per formula unit
E: -96.099 eV for the cell shown

=====

Ce2SnO2: relaxed, GGA-PBE.

```
Ce2SnO2
1.0
-3.6495 0.8537 -0.2071
-0.7361 -2.4887 2.7121
0.9364 5.2284 5.0519
O Ce Sn
2 2 1
Direct
0.0000 0.5000 0.5000 O
0.5000 0.0000 0.5000 O
0.5000 0.5000 0.6976 Ce
0.5000 0.5000 0.3024 Ce
0.0000 0.0000 0.0000 Sn
```

Results
DOS at the Fermi energy: 8.10 states/eV per cell
spin magnetization: 1.1 μB per formula unit
E: -35.990 eV for the cell shown

=====

CeSnO4: relaxed, GGA-PBE.

```
CeSnO4
1.0
4.8658 0.0000 -2.1881
-0.9840 4.7653 -2.1881
0.0060 0.0073 6.5175
O Sn Ce
8 2 2
Direct
0.1102 0.1250 0.7500 O
0.3750 0.8898 0.2500 O
0.3750 0.3602 0.2500 O
0.8750 0.3602 0.2500 O
0.6398 0.1250 0.7500 O
0.6398 0.6250 0.7500 O
0.1102 0.6250 0.7500 O
0.8750 0.8898 0.2500 O
0.0000 0.0000 0.0000 Sn
0.7500 0.2500 0.5000 Sn
0.2500 0.7500 0.5000 Ce
0.5000 0.5000 0.0000 Ce
```

Results
spin magnetization: 0.0 μB per formula unit
E: -87.485 eV for the cell shown

=====

Ce3SnO8: relaxed, GGA-PBE.

```
Ce3SnO8
1.0
-8.9885 -1.2035 8.8333
-10.5809 -3.3339 6.0991
-8.0335 -4.8796 8.4807
Sn Ce O
1 3 8
Direct
0.0000 0.0000 0.0000 Sn
0.7476 0.7476 0.7476 Ce
0.2524 0.2524 0.2524 Ce
0.5000 0.5000 0.5000 Ce
0.5644 0.5644 0.5644 O
0.9417 0.9417 0.9417 O
0.4356 0.4356 0.4356 O
0.1881 0.1881 0.1881 O
0.8119 0.8119 0.8119 O
0.6842 0.6842 0.6842 O
0.3158 0.3158 0.3158 O
0.0583 0.0583 0.0583 O
```

Results
spin magnetization: 0.0 μB per formula unit
E: -96.379 eV for the cell shown

=====

Tb2Ce4Sn3O2: relaxed, GGA-PBE.

```
Tb2Ce4Sn3O2
1.0
-2.8222 3.4560 1.5278
-0.2440 -2.0696 4.2309
11.8298 6.0041 0.9907
O Tb Ce Sn
2 2 4 3
Direct
0.6045 0.6045 0.2089 O
0.3955 0.3955 0.7911 O
0.3033 0.3033 0.6067 Tb
0.6967 0.6967 0.3933 Tb
0.4151 0.9151 0.8302 Ce
0.5849 0.0849 0.1698 Ce
0.9151 0.4151 0.8302 Ce
0.0849 0.5849 0.1698 Ce
0.8206 0.8206 0.6411 Sn
0.1794 0.1794 0.3589 Sn
0.0000 0.0000 0.0000 Sn
```

Results
DOS at the Fermi energy: 21.31 states/eV per cell
spin magnetization: 3.6 μB per formula unit
E: -70.243 eV for the cell shown

=====

Ce2Y4Sn3O2: relaxed, GGA-PBE.

```
Ce2Y4Sn3O2
1.0
-2.6021 -3.0110 2.4932
3.8689 -2.4125 1.1243
0.8814 9.9544 8.5193
Sn Ce Y O
3 2 4 2
Direct
0.0000 0.0000 0.0000 Sn
0.8263 0.8263 0.6526 Sn
0.1737 0.1737 0.3474 Sn
0.6949 0.6949 0.3898 Ce
0.3051 0.3051 0.6102 Ce
0.9179 0.4179 0.8358 Y
0.0821 0.5821 0.1642 Y
0.4179 0.9179 0.8358 Y
0.5821 0.0821 0.1642 Y
0.4041 0.4041 0.8083 O
0.5959 0.5959 0.1917 O
```

Results
DOS at the Fermi energy: 16.62 states/eV per cell
spin magnetization: 2.7 μB per formula unit
E: -75.982 eV for the cell shown

=====

Sr2CeO4: relaxed, GGA-PBE.

```
Sr2CeO4
1.0
3.6333 0.0000 0.0000
0.0000 6.1544 0.0000
0.0000 0.0000 10.4612
Sr O Ce
4 8 2
Direct
0.5000 0.0631 0.6788 Sr
0.5000 0.4369 0.1788 Sr
0.5000 0.9369 0.3212 Sr
0.5000 0.5631 0.8212 Sr
0.5000 0.2266 0.9578 O
0.0000 0.6427 0.3066 O
0.5000 0.7734 0.0422 O
0.5000 0.2734 0.4578 O
0.0000 0.8573 0.8066 O
0.0000 0.3573 0.6934 O
0.5000 0.7266 0.5422 O
0.0000 0.1427 0.1934 O
0.0000 0.5000 0.5000 Ce
0.0000 0.0000 0.0000 Ce
```

Results
DOS at the Fermi energy: 0.00 states/eV per cell
spin magnetization: 0.0 μB per formula unit
E: -101.594 eV for the cell shown

=====

SrCe2O4: relaxed, GGA-PBE.

```
SrCe2O4
1.0
3.5951 0.0000 0.0000
0.0000 10.1054 0.0000
0.0000 0.0000 12.2820
O Ce Sr
16 8 4
Direct
0.7500 0.5604 0.4161 O
0.2500 0.9946 0.2855 O
0.7500 0.5054 0.7855 O
0.2500 0.7281 0.6951 O
0.7500 0.3577 0.0092 O
0.2500 0.6423 0.9908 O
0.2500 0.9396 0.9161 O
0.2500 0.2281 0.8049 O
0.2500 0.4946 0.2145 O
0.2500 0.1423 0.5092 O
0.7500 0.8577 0.4908 O
0.2500 0.4396 0.5839 O
0.7500 0.2719 0.3049 O
0.7500 0.0054 0.7145 O
0.7500 0.7719 0.1951 O
0.7500 0.0604 0.0839 O
0.2500 0.9323 0.6160 Ce
0.7500 0.1005 0.8954 Ce
0.2500 0.4323 0.8840 Ce
0.2500 0.8995 0.1046 Ce
0.7500 0.5677 0.1160 Ce
0.2500 0.3995 0.3954 Ce
0.7500 0.6005 0.6046 Ce
0.7500 0.0677 0.3840 Ce
0.7500 0.7583 0.8535 Sr
0.2500 0.7417 0.3535 Sr
0.2500 0.2417 0.1465 Sr
0.7500 0.2583 0.6465 Sr
```

Results
DOS at the Fermi energy: 28.97 states/eV per cell
spin magnetization: 2.0 μB per formula unit
E: -221.082 eV for the cell shown

=====

SrCeO3: relaxed, GGA-PBE.

```
SrCeO3
1.0
-0.5543 0.0664 3.5118
6.1203 -1.2607 0.9898
2.6992 13.2414 0.1756
Sr O Ce
4 12 4
Direct
0.7500 0.3340 0.7011 Sr
0.7500 0.8340 0.7989 Sr
0.2500 0.6660 0.2989 Sr
0.2500 0.1660 0.2011 Sr
0.2500 0.1465 0.7980 O
0.2500 0.6465 0.7020 O
0.7500 0.6398 0.4562 O
0.2500 0.3602 0.5438 O
0.7500 0.8535 0.2020 O
0.7500 0.3535 0.2980 O
0.7500 0.1398 0.0438 O
0.2500 0.8602 0.9562 O
0.7500 0.4739 0.9063 O
0.2500 0.5261 0.0937 O
0.2500 0.0261 0.4063 O
0.7500 0.9739 0.5937 O
0.2500 0.7605 0.5492 Ce
0.2500 0.2605 0.9508 Ce
0.7500 0.7395 0.0492 Ce
0.7500 0.2395 0.4508 Ce
```

Results
DOS at the Fermi energy: 0.00 states/eV per cell
spin magnetization: 0.0 μB per formula unit
E: -152.757 eV for the cell shown

=====

SrCe2O: relaxed, GGA-PBE.

```
SrCe2O
1.0
3.6822 0.0000 0.0000
1.8411 3.1889 0.0000
1.8411 1.0630 9.7941
Ce O Sr
2 1 1
Direct
0.1222 0.1222 0.6332 Ce
0.8778 0.8778 0.3668 Ce
0.5000 0.5000 0.5000 O
0.0000 0.0000 0.0000 Sr
```

Results
DOS at the Fermi energy: 10.94 states/eV per cell
spin magnetization: 2.2 μB per formula unit
E: -22.824 eV for the cell shown

=====

SrCeTc2O8: relaxed, GGA-PBE.

```
SrCeTc2O8
1.0
5.9481 0.0000 0.0000
-2.9741 5.1512 0.0000
0.0000 0.0000 7.2564
Ce O Sr Tc
1 8 1 2
Direct
0.0000 0.0000 0.5000 Ce
0.1640 0.8367 0.7162 O
0.6727 0.8360 0.7162 O
0.8367 0.6727 0.2838 O
0.1633 0.3273 0.7162 O
0.3333 0.6667 0.0412 O
0.8360 0.1633 0.2838 O
0.3273 0.1640 0.2838 O
0.6667 0.3333 0.9588 O
0.0000 0.0000 0.0000 Sr
0.3333 0.6667 0.7982 Tc
0.6667 0.3333 0.2018 Tc
```

Results
DOS at the Fermi energy: 2.82 states/eV per cell
spin magnetization: 4.0 μB per formula unit
E: -92.597 eV for the cell shown

=====

SrCe2TcO8: relaxed, GGA-PBE.

```
SrCe2TcO8
1.0
5.1222 -0.0169 -0.0097
0.0161 5.1149 0.0027
-0.0044 0.0190 7.0401
Sr O Ce Tc
1 8 2 1
Direct
0.0000 0.0000 0.5000 Sr
0.2828 0.2804 0.0001 O
0.8148 0.1886 0.8004 O
0.7172 0.7196 0.9999 O
0.3294 0.3241 0.4999 O
0.1852 0.8114 0.1996 O
0.8200 0.1823 0.1888 O
0.6706 0.6759 0.5001 O
0.1800 0.8177 0.8112 O
0.5068 0.4929 0.7538 Ce
0.4932 0.5071 0.2462 Ce
0.0000 0.0000 0.0000 Tc
```

Results
DOS at the Fermi energy: 3.77 states/eV per cell
spin magnetization: 1.0 μB per formula unit
E: -94.090 eV for the cell shown

=====

> The highest E belongs to which entry?

SrCe2O

=====

> spin magnetization of number 5 (Tb2Ce4Sn3O2)?

3.6 μB per formula unit

=====

> Which of these has the highest spin magnetization?

SrCeTc2O8